Density functional theory data (PBE+U) for an optimized crystal structure of CoRuI2O.

Properties
Fermi-level density of states: 1.348 states/eV/atom
Final energy: -4.243 eV per atom
Spin magnetization: 2.7 μB per cell

```
data_CoRuI2O
_chemical_formula_sum 'Co1 Ru1 I2 O1'
_cell_length_a 5.534
_cell_length_b 5.534
_cell_length_c 3.739
_cell_angle_alpha 90.00
_cell_angle_beta 90.00
_cell_angle_gamma 90.00
_space_group_name_H-M_alt 'P 4/m m m'
_space_group_IT_number 123
_space_group_name_Hall '-P 4 2'
loop_
_atom_site_label
_atom_site_type_symbol
_atom_site_fract_x
_atom_site_fract_y
_atom_site_fract_z
Co1 Co 0.000 0.000 0.000
Ru1 Ru 0.500 0.500 0.500
I1 I 0.000 0.500 0.500
O1 O 0.500 0.500 0.000
```